This record from Alexandria via LeMat-Bulk describes crystalline Mg3MoF at its relaxed geometry. The functional is PBE+U.

a = 4.375 Å, b = 4.375 Å, c = 4.375 Å
α = 90.00°, β = 90.00°, γ = 90.00°
Positions (direct):
Mg 0.000 0.000 0.500
Mg 0.000 0.500 0.000
Mg 0.500 0.000 0.000
Mo 0.500 0.500 0.500
F 0.000 0.000 0.000

Results
**Space group**: No. 221
**Electronic total energy**: -0.2259 Ry per atom